1.
Compound: Ba2YRu
Source: the Alexandria database
Functional: PBE
Structure: optimized geometry

Values from the calculation:
The density is 5.8 Mg/m³. The calculation puts the formation energy at 0.615 eV/atom. As for the symmetry: P2/m, No. 10. Its crystal system is monoclinic. The energy above the most stable polymorph in this dataset is 512 meV/atom.

Cell: 4.2539 5.0503 6.4134 Å, 90.00 104.13 90.00°
Last column: nearest neighbours and their distance in Å.
Fractional positions:
Ba (0.1297, 0.0000, 0.2806)  2 Ru 3.12, 2 Ba 3.26-3.50
Ba (0.8703, 0.0000, 0.7194)  2 Ru 3.12, 2 Ba 3.26-3.50
Y (0.5000, 0.5000, 0.0000)  2 Ru 3.21
Ru (0.5000, 0.5000, 0.5000)  4 Ba 3.12, 2 Y 3.21

2.
Compound: MnTl2BiTe4
Source: the Alexandria database
Functional: PBE
Structure: optimized geometry

Values from the calculation:
The density is 7.3 Mg/m³. The calculation puts the formation energy (no corrections) at -0.16 eV per atom. As for the symmetry: I-42m, No. 121. Its crystal system is tetragonal.

Cell: 7.0907 7.0907 7.0907 Å, 104.95 104.95 118.96°
Last column: nearest neighbours and their distance in Å.
Fractional positions:
Mn (0.0000, 0.0000, 0.0000)  4 Te 2.70
Tl (0.0000, 0.5000, 0.5000)  8 Te 3.52-3.78, 2 Tl 3.60
Tl (0.5000, 0.0000, 0.5000)  8 Te 3.52-3.78, 2 Tl 3.60
Bi (0.5000, 0.5000, 0.0000)  4 Te 3.02
Te (0.0333, 0.3952, 0.0000)  1 Mn 2.70
Te (0.3952, 0.0333, 0.0000)  1 Mn 2.70
Te (0.6048, 0.6048, 0.6381)  1 Mn 2.70
Te (0.9667, 0.9667, 0.3619)  1 Mn 2.70

3.
Compound: PuInAgPb
Source: the Alexandria database
Functional: PBE
Structure: optimized geometry

Values from the calculation:
The density is 11.1 Mg/m³. The calculation puts the formation energy at -0.027 eV/atom. As for the symmetry: F-43m, No. 216. Its crystal system is cubic.

Cell: 5.2233 5.2233 5.2233 Å, 60.00 60.00 60.00°
Last column: nearest neighbours and their distance in Å.
Fractional positions:
Pu (0.0000, 0.0000, 0.0000)  4 In 3.20, 4 Pb 3.20
In (0.7500, 0.7500, 0.7500)  4 Ag 3.20, 4 Pu 3.20
Ag (0.5000, 0.5000, 0.5000)  4 Pb 3.20, 4 In 3.20
Pb (0.2500, 0.2500, 0.2500)  4 Ag 3.20, 4 Pu 3.20

4.
Compound: K3AgSe2O8
Source: the Alexandria database
Functional: PBE
Structure: optimized geometry

Values from the calculation:
The density is 3.5 Mg/m³. The calculation puts the formation energy (no corrections) at -1.15 eV per atom. As for the symmetry: P-3m1, No. 164. Its crystal system is trigonal.

Cell: 5.9997 5.9997 7.7468 Å, 90.00 90.00 120.00°
Last column: nearest neighbours and their distance in Å.
Fractional positions:
K (0.0000, 0.0000, 0.0000)  6 O 2.96
K (0.3333, 0.6667, 0.6684)  1 O 2.60
K (0.6667, 0.3333, 0.3316)  1 O 2.60
Ag (0.0000, 0.0000, 0.5000)  6 O 2.46
Se (0.3333, 0.6667, 0.2180)  4 O 1.66-1.69
Se (0.6667, 0.3333, 0.7820)  4 O 1.66-1.69
O (0.1812, 0.3624, 0.2954)  1 Se 1.69
O (0.1812, 0.8188, 0.2954)  1 Se 1.69
O (0.3333, 0.6667, 0.0042)  1 Se 1.66
O (0.3624, 0.1812, 0.7046)  1 Se 1.69
O (0.6376, 0.8188, 0.2954)  1 Se 1.69
O (0.6667, 0.3333, 0.9958)  1 Se 1.66
O (0.8188, 0.1812, 0.7046)  1 Se 1.69
O (0.8188, 0.6376, 0.7046)  1 Se 1.69

5.
Compound: Ba2InGa
Source: the Alexandria database
Functional: PBE
Structure: optimized geometry

Values from the calculation:
The density is 5.1 Mg/m³. The calculation puts the formation energy at -0.327 eV/atom. As for the symmetry: Fm-3m, No. 225. Its crystal system is cubic. The energy above the most stable polymorph in this dataset is 18 meV/atom.

Cell: 5.9436 5.9436 5.9436 Å, 60.00 60.00 60.00°
Last column: nearest neighbours and their distance in Å.
Fractional positions:
Ba (0.2500, 0.2500, 0.2500)  4 Ga 3.64, 4 In 3.64
Ba (0.7500, 0.7500, 0.7500)  4 Ga 3.64, 4 In 3.64
In (0.0000, 0.0000, 0.0000)  8 Ba 3.64
Ga (0.5000, 0.5000, 0.5000)  8 Ba 3.64

6.
Compound: CeCuAgPb
Source: the Alexandria database
Functional: PBE
Structure: optimized geometry

Values from the calculation:
The density is 9.7 Mg/m³. The calculation puts the formation energy at -0.156 eV/atom. As for the symmetry: F-43m, No. 216. Its crystal system is cubic.

Cell: 5.0134 5.0134 5.0134 Å, 60.00 60.00 60.00°
Last column: nearest neighbours and their distance in Å.
Fractional positions:
Ce (0.0000, 0.0000, 0.0000)  4 Ag 3.07, 4 Cu 3.07
Cu (0.2500, 0.2500, 0.2500)  4 Ce 3.07, 4 Pb 3.07
Ag (0.7500, 0.7500, 0.7500)  4 Pb 3.07, 4 Ce 3.07
Pb (0.5000, 0.5000, 0.5000)  4 Ag 3.07, 4 Cu 3.07